Density functional theory data (GGA-PBE) for a geometry-optimized ZnCd structure.

Structure (POSCAR):
```
ZnCd
1.0
4.9946 0.0000 0.0000
0.0000 6.0206 0.0000
0.0000 0.0000 4.8931
Cd Zn
4 4
direct
0.9953 0.0000 0.0000 Cd
0.3420 0.0000 0.5000 Cd
0.8295 0.2620 0.5000 Cd
0.8295 0.7380 0.5000 Cd
0.4941 0.2739 0.0000 Zn
0.0193 0.5000 0.0000 Zn
0.4941 0.7261 0.0000 Zn
0.3294 0.5000 0.5000 Zn
```

Values from the calculation:
VASP energy, eV/cell: -8.03
DFT formation energy, eV/atom: 0.077
Space group: Pmm2

---

Density functional theory data (GGA-PBE) for a geometry-optimized LiZrGe2 structure.

Structure (POSCAR):
```
LiZrGe2
1.0
0.0000 3.3037 3.3037
3.3037 0.0000 3.3037
3.3037 3.3037 0.0000
Ge Li Zr
2 1 1
direct
0.0000 0.0000 0.0000 Ge
0.2500 0.2500 0.2500 Ge
0.7500 0.7500 0.7500 Li
0.5000 0.5000 0.5000 Zr
```

Values from the calculation:
VASP energy, eV/cell: -19.65
Space group: F-43m

---

Density functional theory data (GGA-PBE) for a geometry-optimized Hf31NbO64 structure.

Structure (POSCAR):
```
Hf31NbO64
1.0
10.1755 0.0000 0.0000
-0.0101 10.3397 0.0000
-1.7507 -0.0061 10.3854
Hf Nb O
31 1 64
direct
0.0130 0.3532 0.1036 Hf
0.0134 0.8535 0.1039 Hf
0.5132 0.8541 0.1040 Hf
0.5135 0.3536 0.1043 Hf
0.2361 0.6037 0.1460 Hf
0.7365 0.1036 0.1462 Hf
0.2362 0.1038 0.1462 Hf
0.7353 0.6046 0.1465 Hf
0.0135 0.6456 0.3539 Hf
0.5131 0.6460 0.3543 Hf
0.5134 0.1460 0.3543 Hf
0.0137 0.1459 0.3545 Hf
0.7365 0.3958 0.3961 Hf
0.7367 0.8960 0.3962 Hf
0.2364 0.8960 0.3962 Hf
0.2366 0.3958 0.3963 Hf
0.0138 0.8539 0.6041 Hf
0.0136 0.3538 0.6043 Hf
0.5137 0.8542 0.6044 Hf
0.5143 0.3540 0.6047 Hf
0.7364 0.6041 0.6453 Hf
0.7368 0.1038 0.6460 Hf
0.2367 0.6038 0.6461 Hf
0.2374 0.1042 0.6468 Hf
0.0130 0.1460 0.8539 Hf
0.0141 0.6462 0.8541 Hf
0.5137 0.6460 0.8543 Hf
0.5154 0.1484 0.8548 Hf
0.2371 0.8967 0.8959 Hf
0.7364 0.8960 0.8960 Hf
0.2364 0.3961 0.8964 Hf
0.7361 0.3983 0.8973 Nb
0.1520 0.7457 0.0099 O
0.6516 0.7459 0.0102 O
0.1505 0.2459 0.0103 O
0.6521 0.2458 0.0113 O
0.8360 0.4547 0.0787 O
0.8397 0.9564 0.0798 O
0.3393 0.9566 0.0800 O
0.3385 0.4563 0.0803 O
0.9107 0.7053 0.1697 O
0.4105 0.7065 0.1704 O
0.4101 0.2065 0.1710 O
0.9104 0.2068 0.1711 O
0.0974 0.4954 0.2396 O
0.0979 0.9957 0.2401 O
0.5981 0.9957 0.2402 O
0.5975 0.4959 0.2410 O
0.6518 0.7538 0.2601 O
0.1516 0.7539 0.2601 O
0.1518 0.2539 0.2601 O
0.6517 0.2538 0.2604 O
0.8395 0.5426 0.3289 O
0.8397 0.0431 0.3299 O
0.3391 0.0432 0.3299 O
0.3388 0.5436 0.3300 O
0.9106 0.7928 0.4202 O
0.9107 0.2931 0.4206 O
0.4105 0.7935 0.4206 O
0.4107 0.2932 0.4210 O
0.0984 0.5039 0.4899 O
0.5983 0.0040 0.4901 O
0.0984 0.0040 0.4902 O
0.5981 0.5041 0.4906 O
0.6518 0.7461 0.5101 O
0.6519 0.2459 0.5102 O
0.1520 0.7458 0.5102 O
0.1522 0.2459 0.5105 O
0.8398 0.4569 0.5793 O
0.8399 0.9563 0.5794 O
0.3397 0.9569 0.5800 O
0.3399 0.4566 0.5800 O
0.9113 0.2062 0.6703 O
0.4110 0.7064 0.6705 O
0.9108 0.7063 0.6706 O
0.4116 0.2076 0.6715 O
0.0982 0.4960 0.7400 O
0.0989 0.9960 0.7400 O
0.5983 0.9965 0.7402 O
0.5988 0.4963 0.7410 O
0.6556 0.2541 0.7599 O
0.6520 0.7541 0.7601 O
0.1521 0.7540 0.7603 O
0.1522 0.2541 0.7605 O
0.8402 0.0415 0.8288 O
0.8386 0.5425 0.8289 O
0.3394 0.5434 0.8300 O
0.3407 0.0440 0.8302 O
0.4108 0.7935 0.9202 O
0.9102 0.7922 0.9206 O
0.9080 0.2909 0.9210 O
0.4096 0.2930 0.9216 O
0.0982 0.0038 0.9899 O
0.0969 0.5038 0.9899 O
0.5985 0.0043 0.9900 O
0.5963 0.5041 0.9920 O
```

Values from the calculation:
VASP energy, eV/cell: -972.90
Space group: P1

---

Density functional theory data (GGA-PBE) for a geometry-optimized Nd2Cl3O structure.

Structure (POSCAR):
```
Nd2Cl3O
1.0
-3.5579 7.2870 1.0773
-4.6702 6.1572 -2.6829
-4.8790 -8.4865 3.9930
Cl Nd O
6 4 2
direct
0.2306 0.2306 0.1156 Cl
0.9512 0.9512 0.2646 Cl
0.3370 0.3370 0.4895 Cl
0.6630 0.6630 0.5105 Cl
0.0488 0.0488 0.7354 Cl
0.7694 0.7694 0.8844 Cl
0.4126 0.4126 0.0497 Nd
0.1351 0.1351 0.2886 Nd
0.8649 0.8649 0.7114 Nd
0.5874 0.5874 0.9503 Nd
0.5831 0.5831 0.1703 O
0.4169 0.4169 0.8297 O
```

Values from the calculation:
VASP energy, eV/cell: -70.67
Space group: C2/m

---

Density functional theory data (GGA-PBE) for a geometry-optimized LiPmRe structure.

Structure (POSCAR):
```
LiPmRe
1.0
1.1147 -3.3866 2.6227
-1.3223 -0.0566 4.2236
-3.0844 -2.8893 1.3148
Li Pm Re
1 1 1
direct
0.0000 0.0000 0.0000 Li
0.2500 0.2500 0.2500 Pm
0.7500 0.7500 0.7500 Re
```

Values from the calculation:
VASP energy, eV/cell: -16.03
Space group: F-43m

---

Density functional theory data (GGA-PBE) for a geometry-optimized Ag2CO3 structure.

Structure (POSCAR):
```
Ag2CO3
1.0
-3.4720 -1.6704 4.0173
0.4747 -5.2553 1.7721
4.3777 3.4067 2.2560
Ag C O
4 2 6
direct
0.6882 0.6195 0.2094 Ag
0.3805 0.3118 0.2906 Ag
0.6195 0.6882 0.7094 Ag
0.3118 0.3805 0.7906 Ag
0.0128 0.9872 0.2500 C
0.9872 0.0128 0.7500 C
0.7699 0.9709 0.1652 O
0.2358 0.7642 0.2500 O
0.0291 0.2301 0.3348 O
0.9709 0.7699 0.6652 O
0.7642 0.2358 0.7500 O
0.2301 0.0291 0.8348 O
```

Values from the calculation:
VASP energy, eV/cell: -67.51
Space group: C2/c

---

Density functional theory data (GGA-PBE) for a geometry-optimized NpCoB structure.

Structure (POSCAR):
```
NpCoB
1.0
-0.0467 0.1224 3.9466
-3.4312 0.3415 1.9243
-1.4248 -3.0571 2.0535
B Co Np
1 1 1
direct
0.0000 0.0000 0.0000 B
0.7500 0.7500 0.7500 Co
0.2500 0.2500 0.2500 Np
```

Values from the calculation:
VASP energy, eV/cell: -25.77
Space group: F-43m

---

Density functional theory data (GGA-PBE) for a geometry-optimized LiSnAu2 structure.

Structure (POSCAR):
```
LiSnAu2
1.0
2.3683 -4.1021 0.0000
2.3683 4.1021 0.0000
0.0000 0.0000 8.2141
Au Li Sn
4 2 2
direct
0.3333 0.6667 0.0830 Au
0.3333 0.6667 0.4170 Au
0.6667 0.3333 0.5830 Au
0.6667 0.3333 0.9170 Au
0.0000 0.0000 0.2500 Li
0.0000 0.0000 0.7500 Li
0.6667 0.3333 0.2500 Sn
0.3333 0.6667 0.7500 Sn
```

Values from the calculation:
VASP energy, eV/cell: -26.84
Space group: P6_3/mmc

---

Please write out number 6 again, unchanged.
Density functional theory data (GGA-PBE) for a geometry-optimized Ag2CO3 structure.

Structure (POSCAR):
```
Ag2CO3
1.0
-3.4720 -1.6704 4.0173
0.4747 -5.2553 1.7721
4.3777 3.4067 2.2560
Ag C O
4 2 6
direct
0.6882 0.6195 0.2094 Ag
0.3805 0.3118 0.2906 Ag
0.6195 0.6882 0.7094 Ag
0.3118 0.3805 0.7906 Ag
0.0128 0.9872 0.2500 C
0.9872 0.0128 0.7500 C
0.7699 0.9709 0.1652 O
0.2358 0.7642 0.2500 O
0.0291 0.2301 0.3348 O
0.9709 0.7699 0.6652 O
0.7642 0.2358 0.7500 O
0.2301 0.0291 0.8348 O
```

Values from the calculation:
VASP energy, eV/cell: -67.51
Space group: C2/c